Density functional theory data (PBE) for an optimized crystal structure of TaPtAu.

```
TaPtAu
1.0
2.904 0.000 0.000
-1.452 2.515 0.000
0.000 0.000 7.064
Ta Pt Au
1 1 1
direct
0.000 0.000 0.000
0.333 0.667 0.688
0.667 0.333 0.339
```

Summary:
Total magnetic moment ... 0.00 μB/f.u.
Energy relative to the elements ... -0.192 eV per atom
Space group ... P3m1
Theoretical density ... 18.44 g/cm3
E_tot ... -7.249 eV/atom